Record 1
Here is a relaxed SrTi2Ni crystal from Alexandria. Energies are from PBE-GGA.

Cell and atoms, written as POSCAR:
```
SrTi2Ni
1.0
0.000 3.322 3.322
3.322 0.000 3.322
3.322 3.322 0.000
Ti Sr Ni
2 1 1
Cartesian
1.661 1.661 1.661
4.983 4.983 4.983
3.322 3.322 3.322
0.000 0.000 0.000
```

Total magnetic moment (μB/cell): 0.0
Crystal system: cubic
Energy above the most stable polymorph in this dataset (meV per atom): 5
Calculated density (g/cm3): 5.48
Calculated formation energy (eV/f.u.): 2.76
Final energy (eV per atom): -5.124

***

Record 2
Here is a relaxed KTaCl crystal from Alexandria. Energies are from PBE-GGA.

Cell and atoms, written as POSCAR:
```
KTaCl
1.0
-6.334 -4.741 1.921
-3.776 -6.499 2.335
-1.262 1.241 2.583
Ta K Cl
1 1 1
Cartesian
-6.947 -6.778 3.658
-4.342 -3.104 3.166
-1.345 1.123 2.599
```

Total magnetic moment (μB/cell): 0.0
Crystal system: orthorhombic
Energy above the most stable polymorph in this dataset (meV per atom): 94
Calculated density (g/cm3): 6.27
Formation energy from raw total energies (eV/atom): 0.277
Final energy (eV per atom): -4.655

***

Record 3
Here is a relaxed BaCd6 crystal from Alexandria. Energies are from PBE-GGA.

Cell and atoms, written as POSCAR:
```
BaCd6
1.0
6.236 0.000 0.000
0.000 9.613 0.000
0.000 0.000 12.254
Cd Ba
24 4
Cartesian
4.677 3.518 7.888
0.101 8.940 3.799
6.136 5.479 9.926
1.559 3.033 9.087
4.677 5.696 0.288
1.559 3.917 11.966
4.677 6.580 3.168
4.677 0.889 5.839
4.677 1.774 2.960
3.017 8.940 3.799
4.677 8.954 1.127
3.219 0.672 8.455
1.559 8.724 6.415
1.559 5.465 7.254
1.559 6.095 4.366
1.559 7.839 9.295
0.101 4.134 2.328
1.559 1.289 1.761
4.677 4.147 5.000
4.677 8.324 10.493
1.559 0.659 11.127
6.136 0.672 8.455
3.017 4.134 2.328
3.219 5.479 9.926
1.559 7.294 0.731
1.559 2.487 5.396
4.677 7.125 6.859
4.677 2.319 11.523
```

Total magnetic moment (μB/cell): 0.0
Crystal system: orthorhombic
Energy above the most stable polymorph in this dataset (meV per atom): 0
Calculated density (g/cm3): 7.34
Calculated formation energy (eV/f.u.): -1.43
Final energy (eV per atom): -1.263

***

Record 4
Here is a relaxed Tc2HgTeOs crystal from Alexandria. Energies are from PBE-GGA.

Cell and atoms, written as POSCAR:
```
Tc2HgTeOs
1.0
4.801 0.000 0.000
0.000 5.282 0.000
0.000 0.000 4.801
Tc Te Hg Os
2 1 1 1
Cartesian
2.401 0.000 0.000
0.000 0.000 2.401
0.000 2.641 0.000
2.401 2.641 2.401
0.000 0.000 0.000
```

Total magnetic moment (μB/cell): 3.5
Crystal system: tetragonal
Calculated density (g/cm3): 9.74
Formation energy from raw total energies (eV/atom): 1.490
Final energy (eV per atom): -5.591

***

Record 5
Here is a relaxed TaCoRe2 crystal from Alexandria. Energies are from PBE-GGA.

Cell and atoms, written as POSCAR:
```
TaCoRe2
1.0
-3.797 2.362 -1.402
-2.384 -2.850 -2.856
1.662 -0.753 4.316
Co Ta Re
1 1 2
Cartesian
-2.613 0.682 0.392
-3.091 -0.244 -2.129
0.000 0.000 0.000
-1.906 -1.924 -0.335
```

Total magnetic moment (μB/cell): 0.5
Crystal system: tetragonal
Energy above the most stable polymorph in this dataset (meV per atom): 24
Calculated density (g/cm3): 17.29
Calculated formation energy (eV/f.u.): -0.01
Final energy (eV per atom): -10.967

***

Record 6
Here is a relaxed AlAg3Br6 crystal from Alexandria. Energies are from PBE-GGA.

Cell and atoms, written as POSCAR:
```
AlAg3Br6
1.0
7.963 0.000 0.000
0.000 8.765 -1.657
0.000 -0.006 8.921
Ag Br Al
6 12 2
Cartesian
0.518 4.820 3.100
0.422 6.102 6.696
4.404 2.657 0.567
4.499 3.939 4.163
0.422 1.049 2.506
4.404 7.710 4.757
6.442 5.890 4.761
6.442 2.991 2.357
5.249 1.988 6.516
2.461 5.769 4.907
3.436 8.733 -1.619
4.631 5.326 -0.525
7.417 0.026 8.882
4.631 8.289 1.932
2.461 2.870 2.503
0.649 3.433 7.788
1.268 6.771 0.748
0.649 0.470 5.331
3.525 7.222 0.204
7.506 1.537 7.059
```

Total magnetic moment (μB/cell): 0.0
Crystal system: orthorhombic
Calculated density (g/cm3): 4.43
Formation energy from raw total energies (eV/atom): -0.601
Final energy (eV per atom): -2.834

***

Record 7
Here is a relaxed Tb4CeAu5 crystal from Alexandria. Energies are from PBE-GGA.

Cell and atoms, written as POSCAR:
```
Tb4CeAu5
1.0
-3.136 -1.579 -0.775
1.754 -2.699 -1.602
0.628 -9.146 16.100
Au Tb Ce
5 4 1
Cartesian
-0.501 -4.906 3.683
-0.622 -3.136 0.567
-0.253 -8.518 10.041
-0.131 -10.288 13.157
-0.377 -6.712 6.862
0.252 -3.667 6.456
0.376 -5.479 9.645
0.128 -1.861 3.275
0.500 -7.285 12.825
0.000 0.000 0.000
```

Total magnetic moment (μB/cell): 1.1
Crystal system: tetragonal
Calculated density (g/cm3): 12.21
Calculated formation energy (eV/f.u.): -8.01
Final energy (eV per atom): -4.885

***

Record 8
Here is a relaxed Sm3CuRh2 crystal from Alexandria. Energies are from PBE-GGA.

Cell and atoms, written as POSCAR:
```
Sm3CuRh2
1.0
4.112 0.000 0.000
0.000 11.542 0.000
0.000 0.000 11.634
Rh Sm Cu
8 12 4
Cartesian
1.028 5.689 9.528
3.084 3.583 5.979
3.084 5.853 2.106
1.028 7.959 5.655
1.028 9.354 11.472
3.084 11.460 7.923
3.084 2.188 0.162
1.028 0.082 3.711
1.028 1.435 6.455
3.084 2.152 3.441
3.084 10.106 5.179
3.084 10.801 1.417
1.028 4.336 0.638
1.028 9.390 8.193
3.084 6.511 7.234
1.028 7.923 2.376
3.084 7.206 10.996
1.028 5.030 4.400
1.028 0.740 10.217
3.084 3.619 9.258
1.028 4.343 7.298
1.028 1.428 1.481
3.084 7.199 4.336
3.084 10.114 10.153
```

Total magnetic moment (μB/cell): 0.0
Crystal system: orthorhombic
Energy above the most stable polymorph in this dataset (meV per atom): 0
Calculated density (g/cm3): 8.67
Calculated formation energy (eV/f.u.): -3.48
Final energy (eV per atom): -6.073

***

Record 9
Here is a relaxed Ca8ZnIr2 crystal from Alexandria. Energies are from PBE-GGA.

Cell and atoms, written as POSCAR:
```
Ca8ZnIr2
1.0
-0.279 -5.130 -2.692
6.570 -1.384 4.289
-6.562 -0.756 4.454
Ca Ir Zn
8 2 1
Cartesian
1.626 -3.462 0.185
-3.653 -5.995 1.763
-1.943 -3.292 0.230
3.108 -6.318 1.677
-1.898 -3.706 5.970
-0.054 -1.876 2.829
1.685 -3.878 5.925
-0.215 -5.367 3.341
-2.564 -3.488 3.106
2.296 -3.720 3.044
-0.024 -0.453 -0.213
```

Total magnetic moment (μB/cell): 0.0
Crystal system: monoclinic
Calculated density (g/cm3): 3.84
Calculated formation energy (eV/f.u.): -2.60
Final energy (eV per atom): -3.419

***

Record 10
Here is a relaxed Mg2TlAu2 crystal from Alexandria. Energies are from PBE-GGA.

Cell and atoms, written as POSCAR:
```
Mg2TlAu2
1.0
4.394 0.000 0.000
0.000 4.394 0.000
2.197 2.197 5.947
Tl Mg Au
1 2 2
Cartesian
0.000 0.000 0.000
4.394 2.197 2.973
2.197 4.394 2.973
2.197 2.197 1.385
4.394 4.394 4.562
```

Total magnetic moment (μB/cell): 0.0
Crystal system: tetragonal
Calculated density (g/cm3): 9.35
Calculated formation energy (eV/f.u.): -1.51
Final energy (eV per atom): -2.724

***

Record 11
Here is a relaxed Pr2NdPd9 crystal from Alexandria. Energies are from PBE-GGA.

Cell and atoms, written as POSCAR:
```
Pr2NdPd9
1.0
-0.845 -3.707 -1.823
3.268 0.538 -2.609
7.578 -5.807 8.294
Pd Nd Pr
9 1 2
Cartesian
2.888 -0.692 0.068
0.832 -2.815 0.461
3.366 -4.757 3.235
1.212 -1.584 -2.216
6.266 -5.457 3.315
3.735 -3.518 0.546
7.958 -4.577 5.616
5.901 -6.699 6.009
5.423 -2.634 2.842
0.000 0.000 0.000
2.521 -1.932 2.759
5.057 -3.875 5.535
```

Total magnetic moment (μB/cell): 0.0
Crystal system: tetragonal
Calculated density (g/cm3): 10.22
Calculated formation energy (eV/f.u.): -8.92
Final energy (eV per atom): -5.832

***

Record 12
Here is a relaxed SiPb2Au crystal from Alexandria. Energies are from PBE-GGA.

Cell and atoms, written as POSCAR:
```
SiPb2Au
1.0
4.936 0.000 0.000
0.000 4.924 0.000
0.000 0.000 3.973
Au Si Pb
1 1 2
Cartesian
0.000 2.462 1.986
2.468 0.000 1.986
0.000 0.000 0.000
2.468 2.462 0.000
```

Total magnetic moment (μB/cell): 0.0
Crystal system: orthorhombic
Calculated density (g/cm3): 11.00
Formation energy from raw total energies (eV/atom): 0.286
Final energy (eV per atom): -3.743